1.
Ho12CdFe6: optimized geometry, GGA-PBE.

```
data_Ho12CdFe6
_cell_length_a 9.640
_cell_length_b 9.640
_cell_length_c 9.640
_cell_angle_alpha 90.00
_cell_angle_beta 90.00
_cell_angle_gamma 90.00
_symmetry_space_group_name_H-M 'I m -3'
_symmetry_Int_Tables_number 204
_symmetry_space_group_name_Hall '-I 2 2 3'
loop_
_atom_site_label
_atom_site_fract_x
_atom_site_fract_y
_atom_site_fract_z
Ho1 0.000 0.195 0.299
Cd1 0.000 0.000 0.000
Fe1 0.000 0.390 0.500
```

Computed properties:
Magnetic moment, μB per atom: 0.290
E_form, meV/atom: -59

***

2.
LiSm2Sn: optimized geometry, GGA-PBE.

```
data_LiSm2Sn
_cell_length_a 7.530
_cell_length_b 7.530
_cell_length_c 7.530
_cell_angle_alpha 90.00
_cell_angle_beta 90.00
_cell_angle_gamma 90.00
_symmetry_space_group_name_H-M 'F m -3 m'
_symmetry_Int_Tables_number 225
_symmetry_space_group_name_Hall '-F 4 2 3'
loop_
_atom_site_label
_atom_site_fract_x
_atom_site_fract_y
_atom_site_fract_z
Li1 0.000 0.000 0.000
Sm1 0.250 0.250 0.250
Sn1 0.000 0.000 0.500
```

Computed properties:
Magnetic moment, μB per atom: 0.000
E_form, meV/atom: -442

***

3.
VSiTc: optimized geometry, GGA-PBE.

```
data_VSiTc
_cell_length_a 8.538
_cell_length_b 4.300
_cell_length_c 5.092
_cell_angle_alpha 90.00
_cell_angle_beta 121.03
_cell_angle_gamma 90.00
_symmetry_space_group_name_H-M 'C 1 m 1'
_symmetry_Int_Tables_number 8
loop_
_symmetry_equiv_pos_as_xyz
'x,y,z'
'x,-y,z'
'x+1/2,y+1/2,z'
'x+1/2,-y+1/2,z'
loop_
_atom_site_label
_atom_site_fract_x
_atom_site_fract_y
_atom_site_fract_z
V1 0.000 0.000 0.000
V2 0.168 0.500 0.507
Si1 0.180 0.500 0.015
Si2 0.340 0.000 0.527
Tc1 0.002 0.000 0.494
Tc2 0.345 0.000 0.027
```

Computed properties:
Formation energy from raw total energies, eV/atom: -0.3843
Magnetic moment, μB per atom: 0.000

***

4.
K3Pu3RhS8: optimized geometry, GGA-PBE.

```
data_K3Pu3RhS8
_cell_length_a 7.8586
_cell_length_b 7.8586
_cell_length_c 22.4631
_cell_angle_alpha 90.00
_cell_angle_beta 90.00
_cell_angle_gamma 120.00
_symmetry_space_group_name_H-M 'R -3 m'
_symmetry_Int_Tables_number 166
_symmetry_space_group_name_Hall '-R 3 2"'
loop_
_atom_site_label
_atom_site_fract_x
_atom_site_fract_y
_atom_site_fract_z
K1 0.0000 0.5000 0.0000
Pu1 0.0000 0.5000 0.5000
Rh1 0.0000 0.0000 0.5000
S1 0.0000 0.0000 0.2341
S2 0.0272 0.5136 0.2280
```

Computed properties:
Formation energy from raw total energies, eV/atom: -1.3217
Magnetic moment, μB per atom: 0.933

***

5.
HfCoNi: optimized geometry, GGA-PBE.

```
data_HfCoNi
_cell_length_a 3.9458
_cell_length_b 3.9458
_cell_length_c 3.2489
_cell_angle_alpha 90.00
_cell_angle_beta 90.00
_cell_angle_gamma 120.00
_symmetry_space_group_name_H-M 'P -6 m 2'
_symmetry_Int_Tables_number 187
_symmetry_space_group_name_Hall 'P -6 2'
loop_
_atom_site_label
_atom_site_fract_x
_atom_site_fract_y
_atom_site_fract_z
Hf1 0.0000 0.0000 0.0000
Co1 0.6667 0.3333 0.5000
Ni1 0.3333 0.6667 0.5000
```

Computed properties:
Magnetic moment, μB per atom: 0.245
E_form, meV/atom: -254

***

6.
Ba2Sn2Au: optimized geometry, GGA-PBE.

```
data_Ba2Sn2Au
_cell_length_a 4.284
_cell_length_b 4.284
_cell_length_c 19.744
_cell_angle_alpha 90.00
_cell_angle_beta 90.00
_cell_angle_gamma 90.00
_symmetry_space_group_name_H-M 'I 4/m m m'
_symmetry_Int_Tables_number 139
_symmetry_space_group_name_Hall '-I 4 2'
loop_
_atom_site_label
_atom_site_fract_x
_atom_site_fract_y
_atom_site_fract_z
Ba1 0.000 0.000 0.098
Sn1 0.000 0.500 0.250
Au1 0.000 0.000 0.500
```

Computed properties:
Magnetic moment, μB per atom: 0.000
E_form, meV/atom: -432

***

7.
TaTeBr2: optimized geometry, GGA-PBE.

```
data_TaTeBr2
_cell_length_a 6.250
_cell_length_b 9.362
_cell_length_c 3.172
_cell_angle_alpha 90.00
_cell_angle_beta 90.00
_cell_angle_gamma 90.00
_symmetry_space_group_name_H-M 'C m m m'
_symmetry_Int_Tables_number 65
_symmetry_space_group_name_Hall '-C 2 2'
loop_
_atom_site_label
_atom_site_fract_x
_atom_site_fract_y
_atom_site_fract_z
Ta1 0.000 0.000 0.000
Te1 0.000 0.500 0.000
Br1 0.250 0.250 0.500
```

Computed properties:
Formation energy from raw total energies, eV/atom: 0.8100
Magnetic moment, μB per atom: 0.138

***

8.
SrGaS2O8: optimized geometry, GGA-PBE.

```
data_SrGaS2O8
_cell_length_a 5.0920
_cell_length_b 5.0920
_cell_length_c 7.5314
_cell_angle_alpha 90.00
_cell_angle_beta 90.00
_cell_angle_gamma 120.00
_symmetry_space_group_name_H-M 'P -3'
_symmetry_Int_Tables_number 147
loop_
_symmetry_equiv_pos_as_xyz
'x,y,z'
'-x,-y,-z'
'-y,x-y,z'
'y,-x+y,-z'
'-x+y,-x,z'
'x-y,x,-z'
loop_
_atom_site_label
_atom_site_fract_x
_atom_site_fract_y
_atom_site_fract_z
Sr1 0.0000 0.0000 0.0000
Ga1 0.0000 0.0000 0.5000
S1 0.3333 0.6667 0.7657
O1 0.0971 0.3584 0.7037
O2 0.3333 0.6667 0.9635
```

Computed properties:
Formation energy from raw total energies, eV/atom: -1.6614
Magnetic moment, μB per atom: 0.081